DFT (PBE) results for a relaxed RbTiAu3 crystal.

Its density of states at the Fermi level is 3.36 states/eV/f.u.

```
data_RbTiAu3
_cell_length_a 5.2153
_cell_length_b 5.2153
_cell_length_c 5.2153
_cell_angle_alpha 90.00
_cell_angle_beta 90.00
_cell_angle_gamma 90.00
_space_group_name_H-M_alt 'P m -3 m'
_space_group_IT_number 221
_space_group_name_Hall '-P 4 2 3'
loop_
_atom_site_label
_atom_site_type_symbol
_atom_site_fract_x
_atom_site_fract_y
_atom_site_fract_z
Rb1 Rb 0.0000 0.0000 0.0000
Ti1 Ti 0.5000 0.5000 0.5000
Au1 Au 0.0000 0.5000 0.5000
```


DFT (PBE) results for a relaxed RbTi2Au crystal.

Its density of states at the Fermi level is 6.22 states/eV/f.u.

```
data_RbTi2Au
_cell_length_a 4.8409
_cell_length_b 4.8409
_cell_length_c 20.1190
_cell_angle_alpha 90.00
_cell_angle_beta 90.00
_cell_angle_gamma 90.00
_space_group_name_H-M_alt 'I 41/a m d'
_space_group_IT_number 141
loop_
_space_group_symop_operation_xyz
'x,y,z'
'-x,-y,-z'
'-y+1/4,x+3/4,z+1/4'
'y+1/4,-x+3/4,-z+1/4'
'-x+1/2,-y,z+1/2'
'x+1/2,y,-z+1/2'
'y+1/4,-x+1/4,z+3/4'
'-y+1/4,x+1/4,-z+3/4'
'x,-y,-z'
'-x,y,z'
'-y+1/4,-x+1/4,-z+3/4'
'y+1/4,x+1/4,z+3/4'
'-x+1/2,y,-z+1/2'
'x+1/2,-y,z+1/2'
'y+1/4,x+3/4,-z+1/4'
'-y+1/4,-x+3/4,z+1/4'
'x+1/2,y+1/2,z+1/2'
'-x+1/2,-y+1/2,-z+1/2'
'-y+3/4,x+1/4,z+3/4'
'y+3/4,-x+1/4,-z+3/4'
'-x,-y+1/2,z'
'x,y+1/2,-z'
'y+3/4,-x+3/4,z+1/4'
'-y+3/4,x+3/4,-z+1/4'
'x+1/2,-y+1/2,-z+1/2'
'-x+1/2,y+1/2,z+1/2'
'-y+3/4,-x+3/4,-z+1/4'
'y+3/4,x+3/4,z+1/4'
'-x,y+1/2,-z'
'x,-y+1/2,z'
'y+3/4,x+1/4,-z+3/4'
'-y+3/4,-x+1/4,z+3/4'
loop_
_atom_site_label
_atom_site_type_symbol
_atom_site_fract_x
_atom_site_fract_y
_atom_site_fract_z
Rb1 Rb 0.0000 0.2500 0.3750
Ti1 Ti 0.0000 0.0000 0.0000
Au1 Au 0.0000 0.2500 0.8750
```


DFT (PBE) results for a relaxed RbTiAu2 crystal.

Its density of states at the Fermi level is 8.51 states/eV/f.u.

```
data_RbTiAu2
_cell_length_a 7.2210
_cell_length_b 7.2210
_cell_length_c 7.2210
_cell_angle_alpha 90.00
_cell_angle_beta 90.00
_cell_angle_gamma 90.00
_space_group_name_H-M_alt 'F m -3 m'
_space_group_IT_number 225
_space_group_name_Hall '-F 4 2 3'
loop_
_atom_site_label
_atom_site_type_symbol
_atom_site_fract_x
_atom_site_fract_y
_atom_site_fract_z
Rb1 Rb 0.0000 0.0000 0.0000
Ti1 Ti 0.0000 0.0000 0.5000
Au1 Au 0.2500 0.2500 0.2500
```


DFT (PBE) results for a relaxed RbTi3Au crystal.

Its density of states at the Fermi level is 4.44 states/eV/f.u.

```
data_RbTi3Au
_cell_length_a 4.6794
_cell_length_b 4.6794
_cell_length_c 4.6794
_cell_angle_alpha 90.00
_cell_angle_beta 90.00
_cell_angle_gamma 90.00
_space_group_name_H-M_alt 'P m -3 m'
_space_group_IT_number 221
_space_group_name_Hall '-P 4 2 3'
loop_
_atom_site_label
_atom_site_type_symbol
_atom_site_fract_x
_atom_site_fract_y
_atom_site_fract_z
Rb1 Rb 0.0000 0.0000 0.0000
Ti1 Ti 0.0000 0.0000 0.5000
Au1 Au 0.5000 0.5000 0.5000
```


DFT (PBE) results for a relaxed Rb3TiAu crystal.

Its density of states at the Fermi level is 7.41 states/eV/f.u.

```
data_Rb3TiAu
_cell_length_a 6.6019
_cell_length_b 6.6019
_cell_length_c 6.6019
_cell_angle_alpha 90.00
_cell_angle_beta 90.00
_cell_angle_gamma 90.00
_space_group_name_H-M_alt 'P m -3 m'
_space_group_IT_number 221
_space_group_name_Hall '-P 4 2 3'
loop_
_atom_site_label
_atom_site_type_symbol
_atom_site_fract_x
_atom_site_fract_y
_atom_site_fract_z
Rb1 Rb 0.0000 0.0000 0.5000
Ti1 Ti 0.5000 0.5000 0.5000
Au1 Au 0.0000 0.0000 0.0000
```


DFT (PBE) results for a relaxed RbTiAu2 crystal.

Its density of states at the Fermi level is 5.28 states/eV/f.u.

```
data_RbTiAu2
_cell_length_a 8.0401
_cell_length_b 8.0401
_cell_length_c 7.7618
_cell_angle_alpha 90.00
_cell_angle_beta 90.00
_cell_angle_gamma 90.00
_space_group_name_H-M_alt 'I -4 2 d'
_space_group_IT_number 122
_space_group_name_Hall 'I -4 2bw'
loop_
_atom_site_label
_atom_site_type_symbol
_atom_site_fract_x
_atom_site_fract_y
_atom_site_fract_z
Rb1 Rb 0.0000 0.0000 0.0000
Ti1 Ti 0.0000 0.0000 0.5000
Au1 Au 0.1638 0.2500 0.6250
```


no.,formation enthalpy at 0 K (eV per atom),relative energy among the computed polymorphs (meV per atom),V (Å³/cell)
1,0.08,0,142
2,0.84,0,471
3,0.47,224,377
4,1.94,990,102
5,0.80,0,288
6,0.24,0,502